A) An optimized crystal structure of MgTa2MnNi, computed with PBE.

Space group: P4/mmm

Geometry as POSCAR:
```
MgTa2MnNi
1.0
4.7087 0.0000 0.0000
0.0000 4.7087 0.0000
0.0000 0.0000 4.0181
Mg Ta Mn Ni
1 2 1 1
Direct
0.0000 0.0000 0.0000
0.0000 0.5000 0.0000
0.5000 0.0000 0.0000
0.5000 0.5000 0.5000
0.0000 0.0000 0.5000
```

=====

B) An optimized crystal structure of MgTa2MnNi, computed with PBE.

Space group: P4/mmm

Geometry as POSCAR:
```
MgTa2MnNi
1.0
4.5343 0.0000 0.0000
0.0000 4.5343 0.0000
0.0000 0.0000 4.5080
Mg Ta Mn Ni
1 2 1 1
Direct
0.0000 0.0000 0.0000
0.0000 0.5000 0.5000
0.5000 0.0000 0.5000
0.5000 0.5000 0.5000
0.5000 0.5000 0.0000
```

=====

Among the structures shown above, B) is the most stable, with the second-best lying 1182 meV per atom higher.